Below is Ba2Sr2Pd after structural relaxation, with properties calculated at the PBE level.

abc: 8.305 8.305 7.035
angles: 90.00 90.00 90.00
Atoms (fractional coordinates):
Ba 0.830 0.670 0.000
Ba 0.170 0.330 0.000
Ba 0.330 0.830 0.000
Ba 0.670 0.170 0.000
Sr 0.174 0.674 0.500
Sr 0.674 0.826 0.500
Sr 0.826 0.326 0.500
Sr 0.326 0.174 0.500
Pd 0.500 0.500 0.000
Pd 0.000 0.000 0.000

- ΔE_f: -16 meV/atom
- Space-group type: P4/mbm, No. 127
- Offset from the most stable computed form: 0.245 eV per atom